*A*
! GeOsAu, relaxed, DFT GGA-PBE; values from VASP
&SYSTEM
  ibrav = 0, nat = 12, ntyp = 3
/
ATOMIC_SPECIES
Ge 72.64 Ge.upf
Os 190.23 Os.upf
Au 196.97 Au.upf
ATOMIC_POSITIONS angstrom
Ge 4.634 0.000 5.618
Ge 6.555 1.460 0.510
Ge 3.128 0.000 7.975
Ge 5.049 1.460 2.867
Os 3.084 0.000 3.626
Os 1.163 1.460 8.734
Os 4.492 0.000 0.715
Os 2.571 1.460 5.823
Au 0.160 0.000 6.420
Au 2.081 1.460 1.312
Au -1.380 0.000 8.904
Au 0.541 1.460 3.796
CELL_PARAMETERS angstrom
6.864 0.000 0.004
0.000 2.919 0.000
-3.841 0.000 10.215
! **Symmetry**: Cm (8)
! **Volume**: 17.06 Å³ per atom
! **Total magnetization**: 0.00 Bohr magnetons per cell
! **Density of states at the Fermi level**: 1.93 states/eV/f.u.

***

*B*
! GeOsAu, relaxed, DFT GGA-PBE; values from VASP
&SYSTEM
  ibrav = 0, nat = 3, ntyp = 3
/
ATOMIC_SPECIES
Ge 72.64 Ge.upf
Os 190.23 Os.upf
Au 196.97 Au.upf
ATOMIC_POSITIONS angstrom
Ge 0.828 -1.251 2.808
Os 0.633 -2.631 0.733
Au 0.000 0.000 0.000
CELL_PARAMETERS angstrom
-0.892 -3.928 2.697
2.157 -1.335 -1.231
2.548 1.426 2.920
! **Symmetry**: Pmmm (47)
! **Volume**: 18.82 Å³ per atom
! **Total magnetization**: 0.00 Bohr magnetons per cell
! **Density of states at the Fermi level**: 1.82 states/eV/f.u.

***

Stability check: which of them is least stable? *A*.

***

*A*
! GePAu, relaxed, DFT GGA-PBE; values from VASP
&SYSTEM
  ibrav = 0, nat = 3, ntyp = 3
/
ATOMIC_SPECIES
P 30.97 P.upf
Ge 72.64 Ge.upf
Au 196.97 Au.upf
ATOMIC_POSITIONS angstrom
P -2.457 -0.176 -0.765
Ge -0.101 -0.049 0.075
Au -2.646 -2.610 0.261
CELL_PARAMETERS angstrom
-2.356 2.216 -1.724
0.648 -3.361 -1.310
-3.496 -1.689 2.605
! **Symmetry**: P3m1 (156)
! **Volume**: 18.13 Å³ per atom
! **Total magnetization**: 0.00 Bohr magnetons per cell
! **Density of states at the Fermi level**: 1.23 states/eV/f.u.

***

*B*
! GePAu, relaxed, DFT GGA-PBE; values from VASP
&SYSTEM
  ibrav = 0, nat = 3, ntyp = 3
/
ATOMIC_SPECIES
P 30.97 P.upf
Ge 72.64 Ge.upf
Au 196.97 Au.upf
ATOMIC_POSITIONS angstrom
P 0.000 0.000 3.307
Ge 1.791 1.791 0.911
Au 1.791 1.791 3.903
CELL_PARAMETERS angstrom
3.582 0.000 0.000
0.000 3.582 0.000
-1.791 -1.791 4.777
! **Symmetry**: I4mm (107)
! **Volume**: 20.43 Å³ per atom
! **Total magnetization**: 0.00 Bohr magnetons per cell
! **Density of states at the Fermi level**: 1.05 states/eV/f.u.

***

Stability check: which of them is least stable? *B*.

***

*A*
! Ge3PAu, relaxed, DFT GGA-PBE; values from VASP
&SYSTEM
  ibrav = 0, nat = 5, ntyp = 3
/
ATOMIC_SPECIES
P 30.97 P.upf
Ge 72.64 Ge.upf
Au 196.97 Au.upf
ATOMIC_POSITIONS angstrom
P 0.000 0.000 0.000
Ge 0.244 -2.299 -0.549
Ge 2.295 0.098 0.610
Ge -0.568 -0.593 2.230
Au 1.971 -2.794 2.291
CELL_PARAMETERS angstrom
-1.136 -1.186 4.460
0.489 -4.598 -1.099
4.589 0.196 1.221
! **Symmetry**: Pm-3m (221)
! **Volume**: 21.47 Å³ per atom
! **Total magnetization**: 0.00 Bohr magnetons per cell
! **Density of states at the Fermi level**: 2.86 states/eV/f.u.

***

*B*
! Ge3PAu, relaxed, DFT GGA-PBE; values from VASP
&SYSTEM
  ibrav = 0, nat = 5, ntyp = 3
/
ATOMIC_SPECIES
P 30.97 P.upf
Ge 72.64 Ge.upf
Au 196.97 Au.upf
ATOMIC_POSITIONS angstrom
P 2.492 2.492 2.492
Ge 0.000 2.492 0.000
Ge 0.000 0.000 2.492
Ge 2.492 0.000 0.000
Au 0.000 0.000 0.000
CELL_PARAMETERS angstrom
4.984 0.000 0.000
0.000 4.984 0.000
0.000 0.000 4.984
! **Symmetry**: Pm-3m (221)
! **Volume**: 24.76 Å³ per atom
! **Total magnetization**: 0.00 Bohr magnetons per cell
! **Density of states at the Fermi level**: 3.41 states/eV/f.u.

***

Stability check: which of them is least stable? *B*.

***

*A*
! Ge2P2Au, relaxed, DFT GGA-PBE; values from VASP
&SYSTEM
  ibrav = 0, nat = 10, ntyp = 3
/
ATOMIC_SPECIES
P 30.97 P.upf
Ge 72.64 Ge.upf
Au 196.97 Au.upf
ATOMIC_POSITIONS angstrom
P 2.194 5.833 0.000
P 5.833 5.085 0.000
P 5.085 1.445 0.000
P 1.445 2.194 0.000
Ge 1.027 4.666 1.809
Ge 4.666 6.252 1.809
Ge 6.252 2.613 1.809
Ge 2.613 1.027 1.809
Au 0.000 0.000 0.000
Au 3.639 3.639 0.000
CELL_PARAMETERS angstrom
7.278 0.000 0.000
0.000 7.278 0.000
0.000 0.000 3.617
! **Symmetry**: P4/mbm (127)
! **Volume**: 19.16 Å³ per atom
! **Total magnetization**: 0.00 Bohr magnetons per cell
! **Density of states at the Fermi level**: 1.27 states/eV/f.u.

***

*B*
! Ge2P2Au, relaxed, DFT GGA-PBE; values from VASP
&SYSTEM
  ibrav = 0, nat = 5, ntyp = 3
/
ATOMIC_SPECIES
P 30.97 P.upf
Ge 72.64 Ge.upf
Au 196.97 Au.upf
ATOMIC_POSITIONS angstrom
P 3.326 1.663 4.172
P 1.663 3.326 4.172
Ge 1.663 1.663 1.646
Ge 3.326 3.326 6.699
Au 0.000 0.000 0.000
CELL_PARAMETERS angstrom
3.326 0.000 0.000
0.000 3.326 0.000
1.663 1.663 8.345
! **Symmetry**: I4/mmm (139)
! **Volume**: 18.46 Å³ per atom
! **Total magnetization**: 0.00 Bohr magnetons per cell
! **Density of states at the Fermi level**: 2.98 states/eV/f.u.

***

Stability check: which of them is least stable? *A*.